# NaMn2SbO6 | the Alexandria database | GGA+U | relaxed
# crystal system = trigonal
# final energy = -197.46 eV for the cell shown
# density = 4.90 g/cm³
data_NaMn2SbO6
_cell_length_a 5.2543
_cell_length_b 5.2543
_cell_length_c 14.9177
_cell_angle_alpha 90.00
_cell_angle_beta 90.00
_cell_angle_gamma 120.00
_space_group_name_H-M_alt 'R 3'
_space_group_IT_number 146
_space_group_name_Hall 'R 3'
loop_
_atom_site_label
_atom_site_fract_x
_atom_site_fract_y
_atom_site_fract_z
Na1 0.0000 0.0000 0.0000
Mn1 0.0000 0.0000 0.2082
Mn2 0.0000 0.0000 0.7232
Sb1 0.0000 0.0000 0.5228
O1 0.0105 0.3144 0.1267
O2 0.0736 0.7304 0.2768